# Pr4HgSbTe2, optimized geometry, DFT PBE
data_Pr4HgSbTe2
_cell_length_a 7.844
_cell_length_b 4.475
_cell_length_c 7.921
_cell_angle_alpha 90.00
_cell_angle_beta 108.84
_cell_angle_gamma 90.00
_space_group_name_H-M_alt 'P 1 2/m 1'
_space_group_IT_number 10
loop_
_space_group_symop_operation_xyz
'x,y,z'
'-x,-y,-z'
'-x,y,-z'
'x,-y,z'
loop_
_atom_site_label
_atom_site_fract_x
_atom_site_fract_y
_atom_site_fract_z
_atom_site_occupancy
Pr1 0.246 0.000 0.244 1
Pr2 0.250 0.500 0.753 1
Hg1 0.500 0.000 0.000 1
Sb1 0.000 0.500 0.000 1
Te1 0.000 0.000 0.500 1
Te2 0.500 0.500 0.500 1
# E_tot   -4.86 eV/atom
# Energy relative to the elements, uncorrected   -1.136 eV per atom
# Fermi-level density of states   6.131 states/eV per cell
# Total magnetization   0.00 μB/f.u.

# Pr6Hg2SbTe3, optimized geometry, DFT PBE
data_Pr6Hg2SbTe3
_cell_length_a 20.114
_cell_length_b 4.463
_cell_length_c 9.189
_cell_angle_alpha 90.00
_cell_angle_beta 107.80
_cell_angle_gamma 90.00
_space_group_name_H-M_alt 'C 1 2/m 1'
_space_group_IT_number 12
loop_
_space_group_symop_operation_xyz
'x,y,z'
'-x,-y,-z'
'-x,y,-z'
'x,-y,z'
'x+1/2,y+1/2,z'
'-x+1/2,-y+1/2,-z'
'-x+1/2,y+1/2,-z'
'x+1/2,-y+1/2,z'
loop_
_atom_site_label
_atom_site_fract_x
_atom_site_fract_y
_atom_site_fract_z
_atom_site_occupancy
Pr1 0.004 0.000 0.247 1
Pr2 0.163 0.500 0.602 1
Pr3 0.167 0.500 0.103 1
Hg1 0.176 0.000 0.364 1
Sb1 0.000 0.500 0.000 1
Te1 0.000 0.500 0.500 1
Te2 0.163 0.000 0.851 1
# E_tot   -4.64 eV/atom
# Energy relative to the elements, uncorrected   -1.071 eV per atom
# Fermi-level density of states   15.012 states/eV per cell
# Total magnetization   0.00 μB/f.u.

# PrThHgSb, optimized geometry, DFT PBE
data_PrThHgSb
_cell_length_a 7.727
_cell_length_b 7.727
_cell_length_c 7.727
_cell_angle_alpha 90.00
_cell_angle_beta 90.00
_cell_angle_gamma 90.00
_space_group_name_H-M_alt 'F -4 3 m'
_space_group_IT_number 216
_space_group_name_Hall 'F -4 2 3'
loop_
_atom_site_label
_atom_site_fract_x
_atom_site_fract_y
_atom_site_fract_z
_atom_site_occupancy
Pr1 0.000 0.000 0.000 1
Th1 0.000 0.000 0.500 1
Hg1 0.250 0.250 0.250 1
Sb1 0.250 0.250 0.750 1
# E_tot   -4.68 eV/atom
# Energy relative to the elements, uncorrected   -0.526 eV per atom
# Fermi-level density of states   21.541 states/eV per cell
# Total magnetization   0.00 μB/f.u.

# Pr3ScHg12, optimized geometry, DFT PBE
data_Pr3ScHg12
_cell_length_a 4.705
_cell_length_b 4.705
_cell_length_c 18.412
_cell_angle_alpha 90.00
_cell_angle_beta 90.00
_cell_angle_gamma 90.00
_space_group_name_H-M_alt 'P 4/m m m'
_space_group_IT_number 123
_space_group_name_Hall '-P 4 2'
loop_
_atom_site_label
_atom_site_fract_x
_atom_site_fract_y
_atom_site_fract_z
_atom_site_occupancy
Pr1 0.000 0.000 0.000 1
Pr2 0.000 0.000 0.261 1
Sc1 0.000 0.000 0.500 1
Hg1 0.000 0.500 0.130 1
Hg2 0.000 0.500 0.387 1
Hg3 0.500 0.500 0.000 1
Hg4 0.500 0.500 0.260 1
Hg5 0.500 0.500 0.500 1
# E_tot   -1.83 eV/atom
# Fermi-level density of states   15.158 states/eV per cell
# Total magnetization   0.00 μB/f.u.

# Pr2ScHg, optimized geometry, DFT PBE
data_Pr2ScHg
_cell_length_a 3.4431
_cell_length_b 3.4431
_cell_length_c 35.3807
_cell_angle_alpha 90.00
_cell_angle_beta 90.00
_cell_angle_gamma 120.00
_space_group_name_H-M_alt 'R -3 m'
_space_group_IT_number 166
_space_group_name_Hall '-R 3 2"'
loop_
_atom_site_label
_atom_site_fract_x
_atom_site_fract_y
_atom_site_fract_z
_atom_site_occupancy
Pr1 0.0000 0.0000 0.0910 1
Sc1 0.0000 0.0000 0.0000 1
Hg1 0.0000 0.0000 0.5000 1
# E_tot   -3.92 eV/atom
# Fermi-level density of states   19.619 states/eV per cell
# Total magnetization   0.00 μB/f.u.

# Pr2ScHg, optimized geometry, DFT PBE
data_Pr2ScHg
_cell_length_a 7.749
_cell_length_b 7.749
_cell_length_c 7.749
_cell_angle_alpha 90.00
_cell_angle_beta 90.00
_cell_angle_gamma 90.00
_space_group_name_H-M_alt 'F m -3 m'
_space_group_IT_number 225
_space_group_name_Hall '-F 4 2 3'
loop_
_atom_site_label
_atom_site_fract_x
_atom_site_fract_y
_atom_site_fract_z
_atom_site_occupancy
Pr1 0.250 0.250 0.250 1
Sc1 0.000 0.000 0.000 1
Hg1 0.000 0.000 0.500 1
# E_tot   -4.14 eV/atom
# Fermi-level density of states   23.239 states/eV per cell
# Total magnetization   0.01 μB/f.u.

# PrScHg4, optimized geometry, DFT PBE
data_PrScHg4
_cell_length_a 4.586
_cell_length_b 4.586
_cell_length_c 8.150
_cell_angle_alpha 90.00
_cell_angle_beta 90.00
_cell_angle_gamma 90.00
_space_group_name_H-M_alt 'P 4/m m m'
_space_group_IT_number 123
_space_group_name_Hall '-P 4 2'
loop_
_atom_site_label
_atom_site_fract_x
_atom_site_fract_y
_atom_site_fract_z
_atom_site_occupancy
Pr1 0.000 0.000 0.000 1
Sc1 0.500 0.500 0.500 1
Hg1 0.000 0.500 0.277 1
# E_tot   -2.19 eV/atom
# Fermi-level density of states   4.283 states/eV per cell
# Total magnetization   0.00 μB/f.u.

# PrSc5Hg6, optimized geometry, DFT PBE
data_PrSc5Hg6
_cell_length_a 5.017
_cell_length_b 15.181
_cell_length_c 7.271
_cell_angle_alpha 90.00
_cell_angle_beta 90.00
_cell_angle_gamma 90.00
_space_group_name_H-M_alt 'C m m m'
_space_group_IT_number 65
_space_group_name_Hall '-C 2 2'
loop_
_atom_site_label
_atom_site_fract_x
_atom_site_fract_y
_atom_site_fract_z
_atom_site_occupancy
Pr1 0.000 0.000 0.000 1
Sc1 0.000 0.000 0.500 1
Sc2 0.000 0.328 0.000 1
Sc3 0.000 0.338 0.500 1
Hg1 0.000 0.174 0.265 1
Hg2 0.000 0.500 0.268 1
# E_tot   -3.60 eV/atom
# Fermi-level density of states   24.858 states/eV per cell
# Total magnetization   0.79 μB/f.u.

# PrScHg6, optimized geometry, DFT PBE
data_PrScHg6
_cell_length_a 4.712
_cell_length_b 4.712
_cell_length_c 8.811
_cell_angle_alpha 90.00
_cell_angle_beta 90.00
_cell_angle_gamma 90.00
_space_group_name_H-M_alt 'P 4/m m m'
_space_group_IT_number 123
_space_group_name_Hall '-P 4 2'
loop_
_atom_site_label
_atom_site_fract_x
_atom_site_fract_y
_atom_site_fract_z
_atom_site_occupancy
Pr1 0.000 0.000 0.000 1
Sc1 0.000 0.000 0.500 1
Hg1 0.000 0.500 0.265 1
Hg2 0.500 0.500 0.000 1
Hg3 0.500 0.500 0.500 1
# E_tot   -1.89 eV/atom
# Fermi-level density of states   6.705 states/eV per cell
# Total magnetization   0.00 μB/f.u.

# PrSc2Hg4, optimized geometry, DFT PBE
data_PrSc2Hg4
_cell_length_a 6.964
_cell_length_b 10.552
_cell_length_c 4.974
_cell_angle_alpha 90.00
_cell_angle_beta 90.00
_cell_angle_gamma 90.00
_space_group_name_H-M_alt 'C m m m'
_space_group_IT_number 65
_space_group_name_Hall '-C 2 2'
loop_
_atom_site_label
_atom_site_fract_x
_atom_site_fract_y
_atom_site_fract_z
_atom_site_occupancy
Pr1 0.000 0.000 0.000 1
Sc1 0.000 0.255 0.500 1
Hg1 0.215 0.500 0.500 1
Hg2 0.250 0.250 0.000 1
# E_tot   -2.98 eV/atom
# Fermi-level density of states   10.224 states/eV per cell
# Total magnetization   0.00 μB/f.u.

# PrSc3Hg2, optimized geometry, DFT PBE
data_PrSc3Hg2
_cell_length_a 15.581
_cell_length_b 5.138
_cell_length_c 8.412
_cell_angle_alpha 90.00
_cell_angle_beta 115.30
_cell_angle_gamma 90.00
_space_group_name_H-M_alt 'C 1 2/m 1'
_space_group_IT_number 12
loop_
_space_group_symop_operation_xyz
'x,y,z'
'-x,-y,-z'
'-x,y,-z'
'x,-y,z'
'x+1/2,y+1/2,z'
'-x+1/2,-y+1/2,-z'
'-x+1/2,y+1/2,-z'
'x+1/2,-y+1/2,z'
loop_
_atom_site_label
_atom_site_fract_x
_atom_site_fract_y
_atom_site_fract_z
_atom_site_occupancy
Pr1 0.129 0.000 0.181 1
Sc1 0.066 0.000 0.720 1
Sc2 0.115 0.500 0.533 1
Sc3 0.200 0.500 0.993 1
Hg1 0.002 0.500 0.829 1
Hg2 0.225 0.000 0.614 1
# E_tot   -4.29 eV/atom
# Fermi-level density of states   26.464 states/eV per cell
# Total magnetization   0.43 μB/f.u.

# PrSc3Hg2, optimized geometry, DFT PBE
data_PrSc3Hg2
_cell_length_a 4.908
_cell_length_b 8.932
_cell_length_c 6.847
_cell_angle_alpha 90.00
_cell_angle_beta 90.00
_cell_angle_gamma 90.00
_space_group_name_H-M_alt 'P m c 21'
_space_group_IT_number 26
loop_
_space_group_symop_operation_xyz
'x,y,z'
'-x,-y,z+1/2'
'-x,y,z'
'x,-y,z+1/2'
loop_
_atom_site_label
_atom_site_fract_x
_atom_site_fract_y
_atom_site_fract_z
_atom_site_occupancy
Pr1 0.000 0.051 0.000 1
Sc1 0.000 0.334 0.657 1
Sc2 0.500 0.192 0.311 1
Sc3 0.500 0.448 0.969 1
Hg1 0.000 0.358 0.234 1
Hg2 0.500 0.160 0.734 1
# E_tot   -4.37 eV/atom
# Fermi-level density of states   8.667 states/eV per cell
# Total magnetization   0.00 μB/f.u.